DFT (PBE) results for an optimized crystal structure of TaTi2CuC.

Cell and atoms, written as POSCAR:
```
TaTi2CuC
1.0
-3.460 -0.434 -2.212
0.696 -4.060 -0.291
-2.210 -0.636 3.582
Ti Cu C Ta
2 1 1 1
Cartesian
0.348 -2.030 -0.146 Ti
-1.730 -0.217 -1.106 Ti
-2.487 -2.565 0.539 Cu
0.000 0.000 0.000 C
-1.105 -0.318 1.791 Ta
```

## Properties
- Formation energy: -0.269 eV/atom
- Electronic total energy: -42.31 eV for the cell shown

---

DFT (PBE) results for an optimized crystal structure of TbCuC.

Cell and atoms, written as POSCAR:
```
TbCuC
1.0
-0.990 0.933 3.310
-2.563 -2.498 -0.063
7.233 -4.897 1.608
Cu C Tb
2 2 2
Cartesian
0.761 -0.792 0.451 Cu
2.920 -5.671 4.405 Cu
1.698 -4.399 3.682 C
1.983 -2.064 1.174 C
0.139 -2.776 2.758 Tb
3.542 -3.686 2.098 Tb
```

## Properties
- Formation energy: 0.211 eV/atom
- Electronic total energy: -34.64 eV for the cell shown

---

DFT (PBE) results for an optimized crystal structure of Tb4Cu2C.

Cell and atoms, written as POSCAR:
```
Tb4Cu2C
1.0
4.911 0.000 0.000
0.000 4.911 0.000
2.456 2.456 6.797
Tb Cu C
4 2 1
Cartesian
4.911 4.911 2.443 Tb
2.456 2.456 4.354 Tb
0.000 2.456 0.000 Tb
2.456 0.000 0.000 Tb
4.911 4.911 5.204 Cu
2.456 2.456 1.593 Cu
0.000 0.000 0.000 C
```

## Properties
- Formation energy: -0.087 eV/atom
- Electronic total energy: -36.55 eV for the cell shown

---

DFT (PBE) results for an optimized crystal structure of Tb2CuC.

Cell and atoms, written as POSCAR:
```
Tb2CuC
1.0
-0.933 -3.322 1.260
2.329 -1.876 2.134
-2.320 1.169 6.722
Tb Cu C
2 1 1
Cartesian
-0.382 -0.850 2.832 Tb
-0.542 -3.179 7.283 Tb
0.000 0.000 0.000 Cu
-0.462 -2.015 5.058 C
```

## Properties
- Formation energy: -0.143 eV/atom
- Electronic total energy: -23.15 eV for the cell shown

---

DFT (PBE) results for an optimized crystal structure of CuTc2C.

Cell and atoms, written as POSCAR:
```
CuTc2C
1.0
-3.393 1.329 3.053
-2.678 -3.678 -1.376
-0.754 -4.293 4.733
Cu C Tc
2 2 4
Cartesian
-3.591 -2.069 4.312 Cu
0.000 0.000 0.000 Cu
-3.036 -1.175 0.838 C
-3.234 -4.573 2.098 C
-2.314 -0.832 2.623 Tc
-2.616 -3.077 1.001 Tc
-3.102 -4.458 4.045 Tc
-5.618 -4.918 5.150 Tc
```

## Properties
- Formation energy: 1.061 eV/atom
- Electronic total energy: -59.61 eV for the cell shown

---

DFT (PBE) results for an optimized crystal structure of Cu3TcC.

Cell and atoms, written as POSCAR:
```
Cu3TcC
1.0
-2.586 3.176 2.132
-3.240 -3.186 0.816
2.032 -1.039 4.013
Tc C Cu
1 1 3
Cartesian
0.000 0.000 0.000 Tc
-1.897 -0.525 3.480 C
-1.620 -1.593 0.408 Cu
1.016 -0.520 2.007 Cu
-1.293 1.588 1.066 Cu
```

## Properties
- Formation energy: 2.733 eV/atom
- E above lowest polymorph: 1926 meV/atom
- Electronic total energy: -18.21 eV for the cell shown

---

DFT (PBE) results for an optimized crystal structure of Cu2TcC.

Cell and atoms, written as POSCAR:
```
Cu2TcC
1.0
-1.410 3.644 1.441
0.343 -1.411 3.903
5.391 3.303 2.942
Cu Tc C
4 2 2
Cartesian
0.723 2.375 1.906 Cu
3.058 4.645 6.291 Cu
3.695 3.101 4.802 Cu
1.172 0.952 3.574 Cu
1.724 4.032 3.528 Tc
0.000 0.000 0.000 Tc
2.600 1.504 4.759 C
-0.534 1.116 2.672 C
```

## Properties
- Formation energy: 1.463 eV/atom
- Electronic total energy: -43.86 eV for the cell shown

---

DFT (PBE) results for an optimized crystal structure of CuTc2C.

Cell and atoms, written as POSCAR:
```
CuTc2C
1.0
2.812 0.000 0.000
1.406 2.436 0.000
1.406 0.812 7.726
C Tc Cu
1 2 1
Cartesian
2.812 1.624 3.863 C
1.406 0.812 5.163 Tc
4.219 2.436 2.563 Tc
0.000 0.000 0.000 Cu
```

## Properties
- Formation energy: 0.589 eV/atom
- Electronic total energy: -31.69 eV for the cell shown